{"formula": "NdSi2Tc2C", "functional": "PBE", "state": "relaxed", "lattice": [[4.163, 0.000, 0.000], [0.000, 4.163, 0.000], [0.000, 0.000, 5.352]], "species": ["Si", "Si", "C", "Tc", "Tc", "Nd"], "fractional_positions": [[0.500, 0.500, 0.724], [0.500, 0.500, 0.276], [0.000, 0.000, 0.000], [0.500, 0.000, 0.000], [0.000, 0.500, 0.000], [0.000, 0.000, 0.500]], "dft_energy_ev_per_atom": -8.087, "volume_a3_per_cell": 92.73, "space_group": "P4/mmm", "magnetic_moment_mub_per_cell": 0.0}

{"formula": "Ru3RhS", "functional": "PBE", "state": "relaxed", "lattice": [[-1.761, 1.669, 3.533], [1.570, -3.247, 2.315], [3.578, 2.246, 0.722]], "species": ["Rh", "S", "Ru", "Ru", "Ru"], "fractional_positions": [[0.500, 0.500, 0.500], [0.000, 0.000, 0.000], [0.500, 0.000, 0.000], [0.000, 0.500, 0.000], [0.000, 0.000, 0.500]], "relative_energy_mev_per_atom": 0, "volume_a3_per_cell": 78.73, "space_group": "Pm-3m", "magnetic_moment_mub_per_cell": 0.0}

{"formula": "Tb4DyZn2", "functional": "PBE", "state": "relaxed", "lattice": [[-0.832, 3.949, 2.919], [0.301, -0.456, 4.951], [9.333, 3.439, 2.255]], "species": ["Tb", "Tb", "Tb", "Tb", "Zn", "Zn", "Dy"], "fractional_positions": [[0.202, 0.202, 0.393], [0.798, 0.798, 0.607], [0.602, 0.602, 0.195], [0.398, 0.398, 0.805], [0.100, 0.100, 0.700], [0.900, 0.900, 0.300], [0.000, 0.000, 0.000]], "formation_energy_mev_per_atom": 140, "volume_a3_per_cell": 210.20, "space_group": "R-3m", "magnetic_moment_mub_per_cell": 0.0}

{"formula": "PmY2Sc4", "functional": "PBE", "state": "relaxed", "lattice": [[-3.007, -7.494, 2.351], [0.358, 1.051, -8.062], [6.556, -0.586, 1.638]], "species": ["Y", "Y", "Y", "Y", "Sc", "Sc", "Sc", "Sc", "Sc", "Sc", "Sc", "Sc", "Pm", "Pm"], "fractional_positions": [[0.793, 0.386, 0.348], [0.790, 0.380, 0.847], [0.257, 0.727, 0.050], [0.095, 0.256, 0.642], [0.390, 0.156, 0.941], [0.521, 0.559, 0.323], [0.658, 0.975, 0.461], [0.391, 0.158, 0.440], [0.909, 0.820, 0.236], [0.526, 0.563, 0.826], [0.658, 0.976, 0.964], [0.909, 0.819, 0.735], [0.092, 0.242, 0.136], [0.261, 0.732, 0.551]], "formation_energy_mev_per_atom": 50, "relative_energy_mev_per_atom": 0, "volume_a3_per_cell": 392.83, "space_group": "P1", "magnetic_moment_mub_per_cell": 0.0}